Computed, not measured: CaSe2Br after structural relaxation at the PBE level of DFT.

abc: 4.048 4.048 6.056
angles: 90.00 90.00 90.00
Space group P4/mmm (No. 123)
Unique sites:
Ca 0.000 0.000 0.000 x1
Se 0.000 0.500 0.500 x2
Br 0.500 0.500 0.000 x1

* energy relative to the lowest polymorph listed for this composition: 0.120 eV/atom
* density of states at the Fermi level: 0.45 states/eV/f.u.
* uncorrected energy: -14.49 eV for the cell shown